No. 1
First-principles (PBE-GGA) data for an optimized crystal structure of KSnHg3Te4, as listed in the Open Quantum Materials Database.

Unit cell a=7.322 b=7.322 c=7.322 alpha=90.00 beta=90.00 gamma=90.00
Fractional positions:
K (0.000, 0.000, 0.000)
Sn (0.500, 0.500, 0.500)
Hg (0.000, 0.500, 0.500)
Hg (0.500, 0.000, 0.500)
Hg (0.500, 0.500, 0.000)
Te (0.268, 0.268, 0.268)
Te (0.268, 0.732, 0.732)
Te (0.732, 0.268, 0.732)
Te (0.732, 0.732, 0.268)

space group = P-43m, No. 215
offset from the most stable computed form = 27 meV per atom



No. 2
First-principles (PBE-GGA) data for an optimized crystal structure of FeSn2Sb, as listed in the Open Quantum Materials Database.

Unit cell a=4.961 b=4.961 c=4.961 alpha=60.00 beta=60.00 gamma=60.00
Fractional positions:
Fe (0.000, 0.000, 0.000)
Sn (0.250, 0.250, 0.250)
Sn (0.500, 0.500, 0.500)
Sb (0.750, 0.750, 0.750)

space group = F-43m, No. 216



No. 3
First-principles (PBE-GGA) data for an optimized crystal structure of Ta3InB4, as listed in the Open Quantum Materials Database.

Unit cell a=3.042 b=3.198 c=9.951 alpha=90.00 beta=90.00 gamma=90.00
Fractional positions:
Ta (0.000, 0.000, 0.000)
Ta (0.500, 0.000, 0.273)
Ta (0.500, 0.000, 0.727)
In (0.000, 0.500, 0.500)
B (0.000, 0.500, 0.184)
B (0.000, 0.500, 0.816)
B (0.500, 0.500, 0.096)
B (0.500, 0.500, 0.904)

space group = Pmmm, No. 47



No. 4
First-principles (PBE-GGA) data for an optimized crystal structure of Be2GaAg, as listed in the Open Quantum Materials Database.

Unit cell a=4.207 b=4.207 c=4.207 alpha=60.00 beta=60.00 gamma=60.00
Fractional positions:
Be (0.000, 0.000, 0.000)
Be (0.250, 0.250, 0.250)
Ga (0.750, 0.750, 0.750)
Ag (0.500, 0.500, 0.500)

space group = F-43m, No. 216



No. 5
First-principles (PBE-GGA) data for an optimized crystal structure of LiSm2In2, as listed in the Open Quantum Materials Database.

Unit cell a=7.375 b=7.730 c=4.805 alpha=90.00 beta=90.00 gamma=90.00
Fractional positions:
Li (0.000, 0.000, 0.000)
Li (0.500, 0.500, 0.000)
Sm (0.172, 0.349, 0.500)
Sm (0.328, 0.849, 0.500)
Sm (0.672, 0.151, 0.500)
Sm (0.828, 0.651, 0.500)
In (0.138, 0.649, 0.000)
In (0.362, 0.149, 0.000)
In (0.638, 0.851, 0.000)
In (0.862, 0.351, 0.000)

space group = Pbam, No. 55



No. 6
First-principles (PBE-GGA) data for an optimized crystal structure of SrLuPd, as listed in the Open Quantum Materials Database.

Unit cell a=5.016 b=5.016 c=5.016 alpha=60.00 beta=60.00 gamma=60.00
Fractional positions:
Sr (0.000, 0.000, 0.000)
Lu (0.500, 0.500, 0.500)
Pd (0.750, 0.750, 0.750)

space group = F-43m, No. 216
offset from the most stable computed form = 0 meV per atom



No. 7
First-principles (PBE-GGA) data for an optimized crystal structure of Hf4CdFeC2, as listed in the Open Quantum Materials Database.

Unit cell a=3.250 b=3.250 c=14.279 alpha=90.00 beta=90.00 gamma=120.00
Fractional positions:
Hf (0.000, 0.000, 0.137)
Hf (0.000, 0.000, 0.863)
Hf (0.333, 0.667, 0.319)
Hf (0.333, 0.667, 0.681)
Cd (0.000, 0.000, 0.500)
Fe (0.333, 0.667, 0.000)
C (0.667, 0.333, 0.235)
C (0.667, 0.333, 0.765)

space group = P-6m2, No. 187



No. 8
First-principles (PBE-GGA) data for an optimized crystal structure of GaCu2B, as listed in the Open Quantum Materials Database.

Unit cell a=5.720 b=5.720 c=5.720 alpha=90.00 beta=90.00 gamma=90.00
Fractional positions:
Ga (0.000, 0.000, 0.000)
Ga (0.000, 0.000, 0.500)
Ga (0.000, 0.500, 0.000)
Ga (0.500, 0.000, 0.000)
Cu (0.279, 0.279, 0.279)
Cu (0.279, 0.279, 0.721)
Cu (0.279, 0.721, 0.279)
Cu (0.279, 0.721, 0.721)
Cu (0.721, 0.279, 0.279)
Cu (0.721, 0.279, 0.721)
Cu (0.721, 0.721, 0.279)
Cu (0.721, 0.721, 0.721)
B (0.000, 0.500, 0.500)
B (0.500, 0.000, 0.500)
B (0.500, 0.500, 0.000)
B (0.500, 0.500, 0.500)

space group = Pm-3m, No. 221



Number 1: VASP energy -2.2469 eV/atom. Number 2: VASP energy -4.5933 eV/atom. Number 3: VASP energy -8.6051 eV/atom. Number 4: VASP energy -2.9082 eV/atom. Number 5: VASP energy -3.7199 eV/atom. Number 6: VASP energy -4.1183 eV/atom. Number 7: VASP energy -8.8922 eV/atom. Number 8: VASP energy -3.8027 eV/atom.